# ScTiS2N | the Alexandria database | PBE-GGA | relaxed
data_ScTiS2N
_cell_length_a 4.7688
_cell_length_b 4.7688
_cell_length_c 3.7583
_cell_angle_alpha 90.00
_cell_angle_beta 90.00
_cell_angle_gamma 90.00
_space_group_name_H-M_alt 'P 4/m m m'
_space_group_IT_number 123
_space_group_name_Hall '-P 4 2'
loop_
_atom_site_label
_atom_site_fract_x
_atom_site_fract_y
_atom_site_fract_z
Sc1 0.0000 0.0000 0.0000
Ti1 0.5000 0.5000 0.5000
S1 0.0000 0.5000 0.5000
N1 0.5000 0.5000 0.0000
# N(E_F) (states/eV/f.u.): 1.09
# Magnetization (Bohr magnetons per cell): 0.0
# Raw total energy (Ry/atom): -0.513
# V (Å³ per cell): 85.5
# Uncorrected formation energy (kJ/mol of formula units): -397
# Distance to the lowest polymorph of the same formula (meV per atom): 0